No. 1
# Y3Ho4Tm3, optimized geometry, DFT PBE-GGA
data_Y3Ho4Tm3
_chemical_formula_sum 'Y6 Ho8 Tm6'
_cell_length_a 3.703
_cell_length_b 13.037
_cell_length_c 13.037
_cell_angle_alpha 90.00
_cell_angle_beta 90.00
_cell_angle_gamma 90.00
_space_group_name_H-M_alt 'A m m 2'
_space_group_IT_number 38
_space_group_name_Hall 'A 2 -2'
loop_
_atom_site_label
_atom_site_fract_x
_atom_site_fract_y
_atom_site_fract_z
Y1 0.000 0.000 0.000
Y2 0.000 0.172 0.671
Ho1 0.500 0.000 0.542
Ho2 0.500 0.000 0.798
Ho3 0.500 0.127 0.173
Tm1 0.000 0.000 0.342
Tm2 0.500 0.249 0.421
# Formation energy: 0.0993 eV/atom
# Crystal system: orthorhombic
# Calculated density: 7.564 Mg/m³

---

No. 2
# CsCrGa3, optimized geometry, DFT PBE-GGA
data_CsCrGa3
_chemical_formula_sum 'Cs1 Cr1 Ga3'
_cell_length_a 5.022
_cell_length_b 5.022
_cell_length_c 5.022
_cell_angle_alpha 90.00
_cell_angle_beta 90.00
_cell_angle_gamma 90.00
_space_group_name_H-M_alt 'P m -3 m'
_space_group_IT_number 221
_space_group_name_Hall '-P 4 2 3'
loop_
_atom_site_label
_atom_site_fract_x
_atom_site_fract_y
_atom_site_fract_z
Cs1 0.000 0.000 0.000
Cr1 0.500 0.500 0.500
Ga1 0.000 0.500 0.500
# Formation energy: 0.1822 eV/atom
# Crystal system: cubic
# Distance to the lowest polymorph of the same formula: 0.000 eV per atom
# Calculated density: 5.167 Mg/m³

---

No. 3
# Co2Pt5, optimized geometry, DFT PBE-GGA
data_Co2Pt5
_chemical_formula_sum 'Co4 Pt10'
_cell_length_a 8.842
_cell_length_b 8.842
_cell_length_c 2.697
_cell_angle_alpha 90.00
_cell_angle_beta 90.00
_cell_angle_gamma 90.00
_space_group_name_H-M_alt 'P 4/m b m'
_space_group_IT_number 127
_space_group_name_Hall '-P 4 2ab'
loop_
_atom_site_label
_atom_site_fract_x
_atom_site_fract_y
_atom_site_fract_z
Co1 0.181 0.319 0.000
Pt1 0.000 0.500 0.500
Pt2 0.064 0.795 0.500
# Formation energy: 0.0128 eV/atom
# Crystal system: tetragonal
# Calculated density: 17.221 Mg/m³

---

No. 4
# Cd7In3Hg2, optimized geometry, DFT PBE-GGA
data_Cd7In3Hg2
_chemical_formula_sum 'Cd21 In9 Hg6'
_cell_length_a 6.0499
_cell_length_b 6.0499
_cell_length_c 28.9232
_cell_angle_alpha 90.00
_cell_angle_beta 90.00
_cell_angle_gamma 120.00
_space_group_name_H-M_alt 'R -3 m'
_space_group_IT_number 166
_space_group_name_Hall '-R 3 2"'
loop_
_atom_site_label
_atom_site_fract_x
_atom_site_fract_y
_atom_site_fract_z
Cd1 0.0000 0.0000 0.0000
Cd2 0.0091 0.5045 0.4134
In1 0.0000 0.0000 0.3627
In2 0.0000 0.0000 0.5000
Hg1 0.0000 0.0000 0.1649
# Formation energy: 0.0624 eV/atom
# Crystal system: trigonal
# Distance to the lowest polymorph of the same formula: 0.022 eV per atom
# Calculated density: 8.327 Mg/m³

---

No. 5
# AcSbPt2Au2, optimized geometry, DFT PBE-GGA
data_AcSbPt2Au2
_chemical_formula_sum 'Ac2 Sb2 Pt4 Au4'
_cell_length_a 5.322
_cell_length_b 5.322
_cell_length_c 10.987
_cell_angle_alpha 90.00
_cell_angle_beta 90.00
_cell_angle_gamma 90.00
_space_group_name_H-M_alt 'I 4/m m m'
_space_group_IT_number 139
_space_group_name_Hall '-I 4 2'
loop_
_atom_site_label
_atom_site_fract_x
_atom_site_fract_y
_atom_site_fract_z
Ac1 0.000 0.000 0.000
Sb1 0.000 0.000 0.500
Pt1 0.000 0.000 0.263
Au1 0.000 0.500 0.250
# Crystal system: tetragonal
# Formation energy (no corrections): -296 meV/atom
# Calculated density: 12.092 Mg/m³

---

No. 6
# Cs2AuSe2S, optimized geometry, DFT PBE-GGA
data_Cs2AuSe2S
_chemical_formula_sum 'Cs4 Au2 Se4 S2'
_cell_length_a 8.247
_cell_length_b 12.224
_cell_length_c 3.994
_cell_angle_alpha 90.00
_cell_angle_beta 90.00
_cell_angle_gamma 90.00
_space_group_name_H-M_alt 'C m m m'
_space_group_IT_number 65
_space_group_name_Hall '-C 2 2'
loop_
_atom_site_label
_atom_site_fract_x
_atom_site_fract_y
_atom_site_fract_z
Cs1 0.000 0.218 0.000
Au1 0.000 0.500 0.500
Se1 0.201 0.500 0.000
S1 0.000 0.000 0.500
# Crystal system: orthorhombic
# Formation energy (no corrections): -492 meV/atom
# Calculated density: 5.384 Mg/m³

---

No. 7
# CeErCdOs, optimized geometry, DFT PBE-GGA
data_CeErCdOs
_chemical_formula_sum 'Ce1 Er1 Cd1 Os1'
_cell_length_a 3.332
_cell_length_b 3.332
_cell_length_c 8.399
_cell_angle_alpha 90.00
_cell_angle_beta 90.00
_cell_angle_gamma 90.00
_space_group_name_H-M_alt 'P 4 m m'
_space_group_IT_number 99
_space_group_name_Hall 'P 4 -2'
loop_
_atom_site_label
_atom_site_fract_x
_atom_site_fract_y
_atom_site_fract_z
Ce1 0.000 0.000 0.000
Er1 0.000 0.000 0.586
Cd1 0.500 0.500 0.304
Os1 0.500 0.500 0.790
# Formation energy: -0.2891 eV/atom
# Crystal system: tetragonal
# Distance to the lowest polymorph of the same formula: 0.000 eV per atom
# Calculated density: 10.863 Mg/m³

---

No. 8
# Cs2CdSnPt, optimized geometry, DFT PBE-GGA
data_Cs2CdSnPt
_chemical_formula_sum 'Cs2 Cd1 Sn1 Pt1'
_cell_length_a 6.881
_cell_length_b 6.881
_cell_length_c 5.092
_cell_angle_alpha 90.00
_cell_angle_beta 90.00
_cell_angle_gamma 90.00
_space_group_name_H-M_alt 'P 4/m m m'
_space_group_IT_number 123
_space_group_name_Hall '-P 4 2'
loop_
_atom_site_label
_atom_site_fract_x
_atom_site_fract_y
_atom_site_fract_z
Cs1 0.000 0.500 0.000
Cd1 0.000 0.000 0.500
Sn1 0.500 0.500 0.500
Pt1 0.500 0.500 0.000
# Formation energy: -0.0822 eV/atom
# Crystal system: tetragonal
# Calculated density: 4.766 Mg/m³

---

No. 9
# BeTcP2, optimized geometry, DFT PBE-GGA
data_BeTcP2
_chemical_formula_sum 'Be2 Tc2 P4'
_cell_length_a 4.911
_cell_length_b 6.582
_cell_length_c 3.050
_cell_angle_alpha 90.00
_cell_angle_beta 90.66
_cell_angle_gamma 90.00
_space_group_name_H-M_alt 'C 1 2/m 1'
_space_group_IT_number 12
_space_group_name_Hall '-C 2y'
loop_
_atom_site_label
_atom_site_fract_x
_atom_site_fract_y
_atom_site_fract_z
Be1 0.000 0.000 0.000
Tc1 0.000 0.500 0.000
P1 0.250 0.250 0.500
# Formation energy: 0.1080 eV/atom
# Crystal system: monoclinic
# Calculated density: 5.692 Mg/m³

---

No. 10
# CsNaPb, optimized geometry, DFT PBE-GGA
data_CsNaPb
_chemical_formula_sum 'Cs4 Na4 Pb4'
_cell_length_a 7.006
_cell_length_b 13.867
_cell_length_c 5.484
_cell_angle_alpha 90.00
_cell_angle_beta 90.00
_cell_angle_gamma 90.00
_space_group_name_H-M_alt 'A m a 2'
_space_group_IT_number 40
_space_group_name_Hall 'A 2 -2a'
loop_
_atom_site_label
_atom_site_fract_x
_atom_site_fract_y
_atom_site_fract_z
Cs1 0.250 0.219 0.000
Na1 0.250 0.458 0.499
Pb1 0.000 0.000 0.499
# Formation energy: -0.0769 eV/atom
# Crystal system: orthorhombic
# Distance to the lowest polymorph of the same formula: 0.018 eV per atom
# Calculated density: 4.527 Mg/m³

---

No. 11
# NaSm5Cd4, optimized geometry, DFT PBE-GGA
data_NaSm5Cd4
_chemical_formula_sum 'Na1 Sm5 Cd4'
_cell_length_a 3.861
_cell_length_b 3.861
_cell_length_c 19.417
_cell_angle_alpha 90.00
_cell_angle_beta 90.00
_cell_angle_gamma 90.00
_space_group_name_H-M_alt 'P 4/m m m'
_space_group_IT_number 123
_space_group_name_Hall '-P 4 2'
loop_
_atom_site_label
_atom_site_fract_x
_atom_site_fract_y
_atom_site_fract_z
Na1 0.000 0.000 0.000
Sm1 0.500 0.500 0.120
Sm2 0.500 0.500 0.308
Sm3 0.500 0.500 0.500
Cd1 0.000 0.000 0.211
Cd2 0.000 0.000 0.403
# Formation energy: -0.1923 eV/atom
# Crystal system: tetragonal
# Calculated density: 7.022 Mg/m³

---

No. 12
# CaHf2As2, optimized geometry, DFT PBE-GGA
data_CaHf2As2
_chemical_formula_sum 'Ca2 Hf4 As4'
_cell_length_a 7.576
_cell_length_b 7.576
_cell_length_c 3.607
_cell_angle_alpha 90.00
_cell_angle_beta 90.00
_cell_angle_gamma 90.00
_space_group_name_H-M_alt 'P 4/m b m'
_space_group_IT_number 127
_space_group_name_Hall '-P 4 2ab'
loop_
_atom_site_label
_atom_site_fract_x
_atom_site_fract_y
_atom_site_fract_z
Ca1 0.000 0.000 0.000
Hf1 0.144 0.356 0.500
As1 0.144 0.644 0.000
# Formation energy: -0.7299 eV/atom
# Crystal system: tetragonal
# Distance to the lowest polymorph of the same formula: 0.009 eV per atom
# Calculated density: 8.773 Mg/m³